The following is a DFT calculation (PBE+U) of an optimized crystal structure of RbFe2F.

abc: 5.124 5.124 5.124
angles: 60.00 60.00 60.00
Site moments in Bohr magnetons follow the coordinates.
Positions (direct):
Fe 0.750 0.750 0.750  3.08
Rb 0.500 0.500 0.500  0.05
F 0.000 0.000 0.000  0.05
Fe 0.250 0.250 0.250  3.08

Computed properties:
* DFT total energy: -2.823 eV/atom
* ΔE to the lowest computed polymorph: 13.735 kcal/mol of atoms